First-principles (PBE) data for a geometry-optimized LiMg2Zr structure, as listed in the Alexandria database.

Results
E_form: 0.169 eV/atom
Magnetization: 0.000 μB per atom
Calculated volume: 82.7 Å³/cell
E_tot: -12.976 eV/cell

Cell lengths 6.031, 6.031, 6.031 Å; angles 150.30, 129.93, 59.31 degrees
Sites, in units of the cell vectors:
Mg 0.475 0.475 0.000
Mg 0.025 0.025 0.000
Li 0.250 0.750 0.500
Zr 0.750 0.250 0.500